(1)
Entry from Alexandria: an optimized crystal structure of NaTe2Ir (PBE-GGA).

```
NaTe2Ir
1.0
0.0000 3.5042 3.5042
3.5042 0.0000 3.5042
3.5042 3.5042 0.0000
Na Te Ir
1 2 1
Direct
0.0000 0.0000 0.0000 Na
0.2500 0.2500 0.2500 Te
0.7500 0.7500 0.7500 Te
0.5000 0.5000 0.5000 Ir
```

Values from the calculation:
Raw formation energy: 0.1412 eV per atom
Space-group type: Fm-3m
Magnetization: 0.00 μB per formula unit
Uncorrected energy: -3.97 eV/atom

***

(2)
Entry from Alexandria: an optimized crystal structure of NaTe2Ir (PBE-GGA).

```
NaTe2Ir
1.0
-4.2591 4.2591 3.1237
4.2591 -4.2591 3.1237
4.2591 4.2591 -3.1237
Na Te Ir
2 4 2
Direct
0.0000 0.0000 0.0000 Na
0.7500 0.2500 0.5000 Na
0.2312 0.6250 0.1062 Te
0.3750 0.4812 0.6062 Te
0.5188 0.1250 0.8938 Te
0.8750 0.7688 0.3938 Te
0.2500 0.7500 0.5000 Ir
0.5000 0.5000 0.0000 Ir
```

Values from the calculation:
Raw formation energy: -0.2385 eV per atom
Space-group type: I-42d
Magnetization: 0.00 μB per formula unit
Uncorrected energy: -4.35 eV/atom

***

(3)
Entry from Alexandria: an optimized crystal structure of NaTe2Ir (PBE-GGA).

```
NaTe2Ir
1.0
1.6051 0.9267 10.5718
-1.6051 0.9267 10.5718
0.0000 -1.8534 10.5718
Na Te Ir
1 2 1
Direct
0.0000 0.0000 0.0000 Na
0.4194 0.4194 0.4194 Te
0.5806 0.5806 0.5806 Te
0.5000 0.5000 0.5000 Ir
```

Values from the calculation:
Raw formation energy: 0.2985 eV per atom
Space-group type: R-3m
Magnetization: 0.00 μB per formula unit
Uncorrected energy: -3.82 eV/atom

***

(4)
Entry from Alexandria: an optimized crystal structure of NaTe2Ir (PBE-GGA).

```
NaTe2Ir
1.0
2.0488 1.1829 7.2704
-2.0488 1.1829 7.2704
0.0000 -2.3658 7.2704
Na Te Ir
1 2 1
Direct
0.0000 0.0000 0.0000 Na
0.5567 0.5567 0.5567 Te
0.7703 0.7703 0.7703 Te
0.1630 0.1630 0.1630 Ir
```

Values from the calculation:
Raw formation energy: -0.4500 eV per atom
Space-group type: R3m
Magnetization: 0.00 μB per formula unit
Uncorrected energy: -4.57 eV/atom

***

(5)
Entry from Alexandria: an optimized crystal structure of NaTe3Ir (PBE-GGA).

```
NaTe3Ir
1.0
5.3602 0.0000 0.0000
0.0000 5.3602 0.0000
0.0000 0.0000 5.3602
Na Te Ir
1 3 1
Direct
0.0000 0.0000 0.0000 Na
0.0000 0.5000 0.5000 Te
0.5000 0.0000 0.5000 Te
0.5000 0.5000 0.0000 Te
0.5000 0.5000 0.5000 Ir
```

Values from the calculation:
Raw formation energy: 0.1490 eV per atom
Space-group type: Pm-3m
Energy above the lowest structure with this stoichiometry: 0 kJ/mol of formula units
Magnetization: 0.00 μB per formula unit
Uncorrected energy: -3.77 eV/atom

***

(6)
Entry from Alexandria: an optimized crystal structure of Na4TeIr2 (PBE-GGA).

```
Na4TeIr2
1.0
-3.0147 3.0147 7.0667
3.0147 -3.0147 7.0667
3.0147 3.0147 -7.0667
Na Te Ir
4 1 2
Direct
0.0000 0.5000 0.5000 Na
0.2041 0.2041 0.0000 Na
0.5000 0.0000 0.5000 Na
0.7959 0.7959 0.0000 Na
0.0000 0.0000 0.0000 Te
0.4184 0.4184 0.0000 Ir
0.5816 0.5816 0.0000 Ir
```

Values from the calculation:
Raw formation energy: 0.6059 eV per atom
Space-group type: I4/mmm
Magnetization: 4.00 μB per formula unit
Uncorrected energy: -3.13 eV/atom

***

(7)
Entry from Alexandria: an optimized crystal structure of NaTe3Ir (PBE-GGA).

```
NaTe3Ir
1.0
5.2381 0.0000 0.0000
0.0000 5.2381 0.0000
0.0000 0.0000 5.2381
Na Te Ir
1 3 1
Direct
0.0000 0.0000 0.0000 Na
0.0000 0.0000 0.5000 Te
0.0000 0.5000 0.0000 Te
0.5000 0.0000 0.0000 Te
0.5000 0.5000 0.5000 Ir
```

Values from the calculation:
Raw formation energy: 1.4560 eV per atom
Space-group type: Pm-3m
Energy above the lowest structure with this stoichiometry: 631 kJ/mol of formula units
Magnetization: 0.06 μB per formula unit
Uncorrected energy: -2.47 eV/atom

***

(8)
Entry from Alexandria: an optimized crystal structure of Na2TlTeIr (PBE-GGA).

```
Na2TlTeIr
1.0
5.4551 0.0000 0.0000
0.0000 5.4551 0.0000
0.0000 0.0000 5.0548
Na Tl Te Ir
2 1 1 1
Direct
0.0000 0.5000 0.0000 Na
0.5000 0.0000 0.0000 Na
0.0000 0.0000 0.0000 Tl
0.5000 0.5000 0.5000 Te
0.0000 0.0000 0.5000 Ir
```

Values from the calculation:
Raw formation energy: 0.5878 eV per atom
Space-group type: P4/mmm
Magnetization: 0.00 μB per formula unit
Uncorrected energy: -2.81 eV/atom

***

(9)
Entry from Alexandria: an optimized crystal structure of NaTl2TeIr (PBE-GGA).

```
NaTl2TeIr
1.0
5.2659 0.0000 0.0000
0.0000 5.2659 0.0000
0.0000 0.0000 5.6491
Na Tl Te Ir
1 2 1 1
Direct
0.0000 0.0000 0.0000 Na
0.0000 0.5000 0.5000 Tl
0.5000 0.0000 0.5000 Tl
0.5000 0.5000 0.0000 Te
0.5000 0.5000 0.5000 Ir
```

Values from the calculation:
Raw formation energy: 0.0355 eV per atom
Space-group type: P4/mmm
Magnetization: 0.00 μB per formula unit
Uncorrected energy: -3.58 eV/atom

***

(10)
Entry from Alexandria: an optimized crystal structure of NaYTe2Ir (PBE-GGA).

```
NaYTe2Ir
1.0
5.3070 0.0000 0.0000
0.0000 5.3070 0.0000
0.0000 0.0000 4.8849
Na Y Te Ir
1 1 2 1
Direct
0.0000 0.0000 0.0000 Na
0.5000 0.5000 0.0000 Y
0.0000 0.5000 0.5000 Te
0.5000 0.0000 0.5000 Te
0.0000 0.0000 0.5000 Ir
```

Values from the calculation:
Raw formation energy: -0.0307 eV per atom
Space-group type: P4/mmm
Magnetization: 0.00 μB per formula unit
Uncorrected energy: -4.62 eV/atom

***

(11)
Entry from Alexandria: an optimized crystal structure of NaThIr4 (PBE-GGA).

```
NaThIr4
1.0
0.0000 3.7983 3.7983
3.7983 0.0000 3.7983
3.7983 3.7983 0.0000
Na Th Ir
1 1 4
Direct
0.0000 0.0000 0.0000 Na
0.2500 0.2500 0.2500 Th
0.1235 0.6255 0.6255 Ir
0.6255 0.1235 0.6255 Ir
0.6255 0.6255 0.1235 Ir
0.6255 0.6255 0.6255 Ir
```

Values from the calculation:
Formation enthalpy at 0 K: -450 meV/atom
Space-group type: F-43m
Magnetization: 0.00 μB per formula unit
Uncorrected energy: -7.81 eV/atom

***

(12)
Entry from Alexandria: an optimized crystal structure of NaTh2Ir9 (PBE-GGA).

```
NaTh2Ir9
1.0
2.6803 1.5475 8.8504
-2.6803 1.5475 8.8504
0.0000 -3.0949 8.8504
Na Th Ir
1 2 9
Direct
0.0000 0.0000 0.0000 Na
0.1345 0.1345 0.1345 Th
0.8655 0.8655 0.8655 Th
0.0822 0.5804 0.5804 Ir
0.3322 0.3322 0.3322 Ir
0.4196 0.4196 0.9178 Ir
0.4196 0.9178 0.4196 Ir
0.5000 0.5000 0.5000 Ir
0.5804 0.0822 0.5804 Ir
0.5804 0.5804 0.0822 Ir
0.6678 0.6678 0.6678 Ir
0.9178 0.4196 0.4196 Ir
```

Values from the calculation:
Formation enthalpy at 0 K: -376 meV/atom
Space-group type: R-3m
Magnetization: 0.00 μB per formula unit
Uncorrected energy: -8.37 eV/atom

***

(13)
Entry from Alexandria: an optimized crystal structure of Na2TiIr (PBE-GGA).

```
Na2TiIr
1.0
0.0000 3.3361 3.3361
3.3361 0.0000 3.3361
3.3361 3.3361 0.0000
Na Ti Ir
2 1 1
Direct
0.2500 0.2500 0.2500 Na
0.7500 0.7500 0.7500 Na
0.0000 0.0000 0.0000 Ti
0.5000 0.5000 0.5000 Ir
```

Values from the calculation:
Formation enthalpy at 0 K: 890 meV/atom
Space-group type: Fm-3m
Energy above the lowest structure with this stoichiometry: 227 kJ/mol of formula units
Magnetization: 1.32 μB per formula unit
Uncorrected energy: -3.96 eV/atom

***

(14)
Entry from Alexandria: an optimized crystal structure of NaTi3Ir (PBE-GGA).

```
NaTi3Ir
1.0
4.4905 0.0000 0.0000
0.0000 4.4905 0.0000
0.0000 0.0000 4.4905
Na Ti Ir
1 3 1
Direct
0.0000 0.0000 0.0000 Na
0.0000 0.0000 0.5000 Ti
0.0000 0.5000 0.0000 Ti
0.5000 0.0000 0.0000 Ti
0.5000 0.5000 0.5000 Ir
```

Values from the calculation:
Formation enthalpy at 0 K: 1659 meV/atom
Space-group type: Pm-3m
Energy above the lowest structure with this stoichiometry: 631 kJ/mol of formula units
Magnetization: 0.00 μB per formula unit
Uncorrected energy: -5.11 eV/atom

***

(15)
Entry from Alexandria: an optimized crystal structure of Na2Ti4Ir (PBE-GGA).

```
Na2Ti4Ir
1.0
-2.4091 2.4091 7.8364
2.4091 -2.4091 7.8364
2.4091 2.4091 -7.8364
Na Ti Ir
2 4 1
Direct
0.1428 0.1428 0.0000 Na
0.8572 0.8572 0.0000 Na
0.0000 0.5000 0.5000 Ti
0.3456 0.3456 0.0000 Ti
0.5000 0.0000 0.5000 Ti
0.6544 0.6544 0.0000 Ti
0.5000 0.5000 0.0000 Ir
```

Values from the calculation:
Formation enthalpy at 0 K: 694 meV/atom
Space-group type: I4/mmm
Magnetization: 4.65 μB per formula unit
Uncorrected energy: -5.46 eV/atom

***

(16)
Entry from Alexandria: an optimized crystal structure of Na2TiIr2 (PBE-GGA).

```
Na2TiIr2
1.0
6.3113 0.0000 0.0000
0.0000 6.3113 0.0000
0.0000 0.0000 5.1142
Na Ti Ir
4 2 4
Direct
0.1679 0.3321 0.0000 Na
0.3321 0.8321 0.0000 Na
0.6679 0.1679 0.0000 Na
0.8321 0.6679 0.0000 Na
0.0000 0.0000 0.5000 Ti
0.5000 0.5000 0.5000 Ti
0.1390 0.6390 0.5000 Ir
0.3610 0.1390 0.5000 Ir
0.6390 0.8610 0.5000 Ir
0.8610 0.3610 0.5000 Ir
```

Values from the calculation:
Formation enthalpy at 0 K: 134 meV/atom
Space-group type: P4/mbm
Energy above the lowest structure with this stoichiometry: 0 kJ/mol of formula units
Magnetization: 0.00 μB per formula unit
Uncorrected energy: -5.52 eV/atom

***

(17)
Entry from Alexandria: an optimized crystal structure of NaTiIr3 (PBE-GGA).

```
NaTiIr3
1.0
4.6486 0.0000 0.0000
0.0000 4.6486 0.0000
0.0000 0.0000 4.6486
Na Ti Ir
1 1 3
Direct
0.0000 0.0000 0.0000 Na
0.5000 0.5000 0.5000 Ti
0.0000 0.5000 0.5000 Ir
0.5000 0.0000 0.5000 Ir
0.5000 0.5000 0.0000 Ir
```

Values from the calculation:
Formation enthalpy at 0 K: 912 meV/atom
Space-group type: Pm-3m
Energy above the lowest structure with this stoichiometry: 0 kJ/mol of formula units
Magnetization: 0.00 μB per formula unit
Uncorrected energy: -6.25 eV/atom

***

(18)
Entry from Alexandria: an optimized crystal structure of NaTiIr2 (PBE-GGA).

```
NaTiIr2
1.0
-3.6002 3.6002 2.7203
3.6002 -3.6002 2.7203
3.6002 3.6002 -2.7203
Na Ti Ir
2 2 4
Direct
0.0000 0.0000 0.0000 Na
0.7500 0.2500 0.5000 Na
0.2500 0.7500 0.5000 Ti
0.5000 0.5000 0.0000 Ti
0.1666 0.6250 0.0416 Ir
0.3750 0.4166 0.5416 Ir
0.5834 0.1250 0.9584 Ir
0.8750 0.8334 0.4584 Ir
```

Values from the calculation:
Formation enthalpy at 0 K: 213 meV/atom
Space-group type: I-42d
Magnetization: 0.00 μB per formula unit
Uncorrected energy: -6.52 eV/atom

***

(19)
Entry from Alexandria: an optimized crystal structure of Na2TiIr2 (PBE-GGA).

```
Na2TiIr2
1.0
-1.6585 1.6585 7.6173
1.6585 -1.6585 7.6173
1.6585 1.6585 -7.6173
Na Ti Ir
2 1 2
Direct
0.2500 0.7500 0.5000 Na
0.7500 0.2500 0.5000 Na
0.0000 0.0000 0.0000 Ti
0.4095 0.4095 0.0000 Ir
0.5905 0.5905 0.0000 Ir
```

Values from the calculation:
Formation enthalpy at 0 K: 338 meV/atom
Space-group type: I4/mmm
Energy above the lowest structure with this stoichiometry: 99 kJ/mol of formula units
Magnetization: 0.00 μB per formula unit
Uncorrected energy: -5.31 eV/atom

***

(20)
Entry from Alexandria: an optimized crystal structure of Na2TiIr (PBE-GGA).

```
Na2TiIr
1.0
-1.8484 1.8484 11.2008
1.8484 -1.8484 11.2008
1.8484 1.8484 -11.2008
Na Ti Ir
4 2 2
Direct
0.1124 0.6250 0.9874 Na
0.3750 0.3624 0.4874 Na
0.6376 0.1250 0.0126 Na
0.8750 0.8876 0.5126 Na
0.2500 0.7500 0.5000 Ti
0.5000 0.5000 0.0000 Ti
0.0000 0.0000 0.0000 Ir
0.7500 0.2500 0.5000 Ir
```

Values from the calculation:
Formation enthalpy at 0 K: 303 meV/atom
Space-group type: I-42d
Energy above the lowest structure with this stoichiometry: 0 kJ/mol of formula units
Magnetization: 0.60 μB per formula unit
Uncorrected energy: -4.55 eV/atom